# 1
Material: AlTl4Ni
Method: DFT, PBE-GGA
State: relaxed

Output
**Raw total energy**: -2.44 eV per atom
**Energy relative to the elements**: 0.72 eV per atom
**Density of states at the Fermi level**: 0.59 states/eV per atom

a = 6.2258 Å, b = 6.2258 Å, c = 6.2258 Å
α = 60.00°, β = 60.00°, γ = 60.00°
With the nearest neighbours (Å) after each atom.
Sites, in units of the cell vectors:
1 Al 0.0000 0.0000 0.0000  12 Tl 3.65, 4 Ni 3.81
2 Tl 0.3756 0.3756 0.3756  6 Tl 3.10-3.13
3 Tl 0.3756 0.3756 0.8733  6 Tl 3.10-3.13
4 Tl 0.3756 0.8733 0.3756  6 Tl 3.10-3.13
5 Tl 0.8733 0.3756 0.3756  6 Tl 3.10-3.13
6 Ni 0.7500 0.7500 0.7500  12 Tl 3.65, 4 Al 3.81

# 2
Material: Al2TlNi
Method: DFT, PBE-GGA
State: relaxed

Output
**Raw total energy**: -3.59 eV per atom
**Energy relative to the elements**: 0.32 eV per atom
**Energy above the lowest structure with this stoichiometry**: 412.5 meV per atom
**Density of states at the Fermi level**: 0.65 states/eV per atom

a = 4.6316 Å, b = 4.6316 Å, c = 4.6316 Å
α = 60.00°, β = 60.00°, γ = 60.00°
With the nearest neighbours (Å) after each atom.
Sites, in units of the cell vectors:
1 Al 0.2500 0.2500 0.2500  4 Ni 2.84, 4 Tl 2.84
2 Al 0.7500 0.7500 0.7500  4 Ni 2.84, 4 Tl 2.84
3 Tl 0.0000 0.0000 0.0000  8 Al 2.84
4 Ni 0.5000 0.5000 0.5000  8 Al 2.84

# 3
Material: Al2TlNi
Method: DFT, PBE-GGA
State: relaxed

Output
**Raw total energy**: -3.69 eV per atom
**Energy relative to the elements**: 0.22 eV per atom
**Energy above the lowest structure with this stoichiometry**: 311.2 meV per atom
**Density of states at the Fermi level**: 0.40 states/eV per atom

a = 4.1784 Å, b = 4.1784 Å, c = 4.0513 Å
α = 90.00°, β = 90.00°, γ = 101.10°
With the nearest neighbours (Å) after each atom.
Sites, in units of the cell vectors:
1 Al 0.0000 0.5000 0.0000  2 Al 2.66, 4 Ni 2.91, 4 Tl 2.91
2 Al 0.5000 0.0000 0.0000  2 Al 2.66, 4 Ni 2.91, 4 Tl 2.91
3 Tl 0.0000 0.0000 0.5000  2 Ni 2.66, 8 Al 2.91
4 Ni 0.5000 0.5000 0.5000  2 Tl 2.66, 8 Al 2.91

# 4
Material: Al2TlNi
Method: DFT, PBE-GGA
State: relaxed

Output
**Raw total energy**: -3.69 eV per atom
**Energy relative to the elements**: 0.22 eV per atom
**Energy above the lowest structure with this stoichiometry**: 315.3 meV per atom
**Density of states at the Fermi level**: 0.59 states/eV per atom

a = 5.0199 Å, b = 5.0199 Å, c = 5.0199 Å
α = 132.16°, β = 132.16°, γ = 69.98°
With the nearest neighbours (Å) after each atom.
Sites, in units of the cell vectors:
1 Al 0.0000 0.0000 0.0000  4 Tl 2.88, 4 Ni 2.89, 4 Al 2.89
2 Al 0.7500 0.2500 0.5000  4 Ni 2.88, 4 Tl 2.89, 4 Al 2.89
3 Tl 0.5000 0.5000 0.0000  8 Al 2.88-2.89, 4 Ni 2.89
4 Ni 0.2500 0.7500 0.5000  8 Al 2.88-2.89, 4 Tl 2.89

# 5
Material: AlTlNi2
Method: DFT, PBE-GGA
State: relaxed

Output
**Raw total energy**: -4.42 eV per atom
**Energy relative to the elements**: -0.01 eV per atom
**Energy above the lowest structure with this stoichiometry**: 120.2 meV per atom
**Density of states at the Fermi level**: 0.50 states/eV per atom

a = 4.3147 Å, b = 4.3147 Å, c = 3.1342 Å
α = 90.00°, β = 90.00°, γ = 90.00°
With the nearest neighbours (Å) after each atom.
Sites, in units of the cell vectors:
1 Al 0.0000 0.0000 0.0000  8 Ni 2.67
2 Tl 0.5000 0.5000 0.0000  8 Ni 2.67
3 Ni 0.0000 0.5000 0.5000  4 Tl 2.67, 4 Al 2.67
4 Ni 0.5000 0.0000 0.5000  4 Tl 2.67, 4 Al 2.67

# 6
Material: AlTlNi
Method: DFT, PBE-GGA
State: relaxed

Output
**Raw total energy**: -3.93 eV per atom
**Energy relative to the elements**: 0.04 eV per atom
**Energy above the lowest structure with this stoichiometry**: 2.1 meV per atom
**Density of states at the Fermi level**: 0.55 states/eV per atom

a = 6.3806 Å, b = 6.3806 Å, c = 6.3806 Å
α = 152.44°, β = 152.44°, γ = 39.38°
With the nearest neighbours (Å) after each atom.
Sites, in units of the cell vectors:
1 Al 0.0000 0.0000 0.0000  4 Ni 2.42
2 Tl 0.7279 0.7279 0.0000  4 Tl 3.04, 4 Ni 3.05, 1 Al 3.27
3 Ni 0.4079 0.4079 0.0000  4 Al 2.42

# 7
Material: AlTlNi2
Method: DFT, PBE-GGA
State: relaxed

Output
**Raw total energy**: -4.21 eV per atom
**Energy relative to the elements**: 0.21 eV per atom
**Energy above the lowest structure with this stoichiometry**: 335.4 meV per atom
**Density of states at the Fermi level**: 0.54 states/eV per atom

a = 4.3760 Å, b = 4.3760 Å, c = 4.3760 Å
α = 60.00°, β = 60.00°, γ = 60.00°
With the nearest neighbours (Å) after each atom.
Sites, in units of the cell vectors:
1 Al 0.0000 0.0000 0.0000  4 Tl 2.68, 4 Ni 2.68
2 Tl 0.2500 0.2500 0.2500  4 Ni 2.68, 4 Al 2.68
3 Ni 0.5000 0.5000 0.5000  4 Tl 2.68, 4 Ni 2.68
4 Ni 0.7500 0.7500 0.7500  4 Ni 2.68, 4 Al 2.68

# 8
Material: Al2TlNi
Method: DFT, PBE-GGA
State: relaxed

Output
**Raw total energy**: -3.96 eV per atom
**Energy relative to the elements**: -0.05 eV per atom
**Energy above the lowest structure with this stoichiometry**: 38.7 meV per atom
**Density of states at the Fermi level**: 0.28 states/eV per atom

a = 6.8441 Å, b = 6.8441 Å, c = 6.8441 Å
α = 155.61°, β = 145.70°, γ = 42.54°
With the nearest neighbours (Å) after each atom.
Sites, in units of the cell vectors:
1 Al 0.0000 0.0000 0.0000  2 Ni 2.43
2 Al 0.6605 0.1605 0.5000  4 Ni 2.48
3 Tl 0.3558 0.3558 0.0000  2 Tl 2.89, 2 Ni 2.96, 6 Al 3.09-3.21
4 Ni 0.1532 0.6532 0.5000  6 Al 2.43-2.48

# 9
Material: AlTlNi2
Method: DFT, PBE-GGA
State: relaxed

Output
**Raw total energy**: -4.37 eV per atom
**Energy relative to the elements**: 0.05 eV per atom
**Energy above the lowest structure with this stoichiometry**: 172.4 meV per atom
**Density of states at the Fermi level**: 0.56 states/eV per atom

a = 4.1264 Å, b = 4.1264 Å, c = 5.7299 Å
α = 99.52°, β = 99.52°, γ = 40.98°
With the nearest neighbours (Å) after each atom.
Sites, in units of the cell vectors:
1 Al 0.0000 0.0000 0.0000  6 Ni 2.44-2.45
2 Tl 0.5000 0.5000 0.5000  6 Ni 2.79-2.83, 2 Tl 2.89
3 Ni 0.2595 0.2595 0.8111  3 Al 2.44-2.45, 2 Ni 2.63
4 Ni 0.7405 0.7405 0.1889  3 Al 2.44-2.45, 2 Ni 2.63

# 10
Material: Al2TlNi
Method: DFT, PBE-GGA
State: relaxed

Output
**Raw total energy**: -3.92 eV per atom
**Energy relative to the elements**: -0.01 eV per atom
**Energy above the lowest structure with this stoichiometry**: 78.3 meV per atom
**Density of states at the Fermi level**: 0.26 states/eV per atom

a = 4.5054 Å, b = 4.5054 Å, c = 6.5280 Å
α = 108.95°, β = 108.95°, γ = 38.67°
With the nearest neighbours (Å) after each atom.
Sites, in units of the cell vectors:
1 Al 0.0000 0.0000 0.0000  2 Ni 2.39
2 Al 0.1988 0.1988 0.7113  3 Ni 2.38-2.40
3 Tl 0.8354 0.8354 0.3183  2 Ni 2.82, 1 Al 2.88, 2 Tl 2.98
4 Ni 0.4767 0.4767 0.7052  5 Al 2.38-2.40

# 11
Material: Al3TlNi
Method: DFT, PBE-GGA
State: relaxed

Output
**Raw total energy**: -3.90 eV per atom
**Energy relative to the elements**: -0.03 eV per atom
**Energy above the lowest structure with this stoichiometry**: 0.0 meV per atom
**Density of states at the Fermi level**: 0.47 states/eV per atom

a = 4.6214 Å, b = 4.6214 Å, c = 4.6214 Å
α = 90.00°, β = 90.00°, γ = 90.00°
With the nearest neighbours (Å) after each atom.
Sites, in units of the cell vectors:
1 Al 0.0000 0.0000 0.5000  2 Ni 2.31
2 Al 0.0000 0.5000 0.0000  2 Ni 2.31
3 Al 0.5000 0.0000 0.0000  2 Ni 2.31
4 Tl 0.5000 0.5000 0.5000  12 Al 3.27
5 Ni 0.0000 0.0000 0.0000  6 Al 2.31

# 12
Material: Al2TlNi
Method: DFT, PBE-GGA
State: relaxed

Output
**Raw total energy**: -3.65 eV per atom
**Energy relative to the elements**: 0.26 eV per atom
**Energy above the lowest structure with this stoichiometry**: 350.0 meV per atom
**Density of states at the Fermi level**: 0.43 states/eV per atom

a = 5.6351 Å, b = 5.6351 Å, c = 3.0457 Å
α = 103.33°, β = 103.33°, γ = 123.03°
With the nearest neighbours (Å) after each atom.
Sites, in units of the cell vectors:
1 Al 0.0000 0.5000 0.0000  4 Al 2.69-2.93, 2 Tl 2.82, 2 Ni 2.82
2 Al 0.5000 0.0000 0.0000  4 Al 2.69-2.93, 2 Tl 2.82, 2 Ni 2.82
3 Tl 0.0000 0.0000 0.0000  4 Ni 2.69-2.93, 4 Al 2.82
4 Ni 0.5000 0.5000 0.0000  4 Tl 2.69-2.93, 4 Al 2.82

density of states at the Fermi level of number 10 (Al2TlNi)? 0.26 states/eV per atom

The lowest raw total energy belongs to which entry? number 5